Here is crystalline CaZr3H at its relaxed geometry from the Alexandria database. Energies are from PBEsol.

Values from the calculation:
- DFT total energy: -0.1570 Ha/atom
- Energy relative to the lowest polymorph listed for this composition: 2.177 eV per atom

Cell lengths 5.0048, 5.0048, 5.0048 Å; angles 90.00, 90.00, 90.00 degrees
Atoms (fractional coordinates):
H1 0.5000 0.5000 0.5000
Ca1 0.0000 0.0000 0.0000
Zr1 0.0000 0.5000 0.0000
Zr2 0.0000 0.0000 0.5000
Zr3 0.5000 0.0000 0.0000


Here is crystalline KTiPSe5 at its relaxed geometry from the Alexandria database. Energies are from PBEsol.

Values from the calculation:
- DFT total energy: -0.1856 Ha/atom
- Formation energy from raw total energies: -0.738 eV/atom

Cell lengths 6.5913, 7.2854, 9.7903 Å; angles 111.84, 97.47, 90.00 degrees
Atoms (fractional coordinates):
K1 0.7726 0.2709 0.5417
K2 0.2274 0.7291 0.4583
Ti1 0.0000 0.2749 0.0000
Ti2 0.0000 0.7251 0.0000
P1 0.2190 0.1381 0.2763
P2 0.7810 0.8619 0.7237
Se1 0.1121 0.9141 0.8283
Se2 0.1921 0.4390 0.8780
Se3 0.6602 0.6720 0.8313
Se4 0.8879 0.0859 0.1717
Se5 0.3398 0.3280 0.1687
Se6 0.6602 0.1593 0.8313
Se7 0.8079 0.5610 0.1220
Se8 0.2640 0.2584 0.5169
Se9 0.3398 0.8407 0.1687
Se10 0.7360 0.7416 0.4831


Here is crystalline Pd17Se15 at its relaxed geometry from the Alexandria database. Energies are from PBEsol.

Values from the calculation:
- DFT total energy: -0.1951 Ha/atom
- Formation energy from raw total energies: -0.340 eV/atom

Cell lengths 10.5782, 10.5782, 10.5782 Å; angles 90.00, 90.00, 90.00 degrees
Atoms (fractional coordinates):
Pd1 0.1509 0.3525 0.6475
Pd2 0.3525 0.3525 0.8491
Pd3 0.3525 0.1509 0.6475
Pd4 0.1509 0.6475 0.3525
Pd5 0.3525 0.6475 0.1509
Pd6 0.3525 0.8491 0.3525
Pd7 0.8491 0.3525 0.3525
Pd8 0.6475 0.3525 0.1509
Pd9 0.6475 0.1509 0.3525
Pd10 0.8491 0.6475 0.6475
Pd11 0.6475 0.6475 0.8491
Pd12 0.6475 0.8491 0.6475
Pd13 0.8491 0.6475 0.3525
Pd14 0.6475 0.6475 0.1509
Pd15 0.6475 0.8491 0.3525
Pd16 0.8491 0.3525 0.6475
Pd17 0.6475 0.3525 0.8491
Pd18 0.6475 0.1509 0.6475
Pd19 0.1509 0.6475 0.6475
Pd20 0.3525 0.6475 0.8491
Pd21 0.3525 0.8491 0.6475
Pd22 0.1509 0.3525 0.3525
Pd23 0.3525 0.3525 0.1509
Pd24 0.3525 0.1509 0.3525
Pd25 0.2404 0.0000 0.0000
Pd26 0.0000 0.0000 0.7596
Pd27 0.0000 0.2404 0.0000
Pd28 0.0000 0.0000 0.2404
Pd29 0.0000 0.7596 0.0000
Pd30 0.7596 0.0000 0.0000
Pd31 0.5000 0.0000 0.0000
Pd32 0.0000 0.0000 0.5000
Pd33 0.0000 0.5000 0.0000
Pd34 0.5000 0.5000 0.5000
Se1 0.5000 0.1687 0.8313
Se2 0.1687 0.1687 0.5000
Se3 0.1687 0.5000 0.8313
Se4 0.5000 0.8313 0.1687
Se5 0.1687 0.8313 0.5000
Se6 0.1687 0.5000 0.1687
Se7 0.5000 0.1687 0.1687
Se8 0.8313 0.1687 0.5000
Se9 0.8313 0.5000 0.1687
Se10 0.5000 0.8313 0.8313
Se11 0.8313 0.8313 0.5000
Se12 0.8313 0.5000 0.8313
Se13 0.0000 0.2308 0.7692
Se14 0.2308 0.2308 0.0000
Se15 0.2308 0.0000 0.7692
Se16 0.0000 0.7692 0.2308
Se17 0.2308 0.7692 0.0000
Se18 0.2308 0.0000 0.2308
Se19 0.0000 0.2308 0.2308
Se20 0.7692 0.2308 0.0000
Se21 0.7692 0.0000 0.2308
Se22 0.0000 0.7692 0.7692
Se23 0.7692 0.7692 0.0000
Se24 0.7692 0.0000 0.7692
Se25 0.2608 0.5000 0.5000
Se26 0.5000 0.5000 0.7392
Se27 0.5000 0.2608 0.5000
Se28 0.5000 0.5000 0.2608
Se29 0.5000 0.7392 0.5000
Se30 0.7392 0.5000 0.5000


Here is crystalline Al2Ni2Pb at its relaxed geometry from the Alexandria database. Energies are from PBEsol.

Values from the calculation:
- DFT total energy: -0.1804 Ha/atom
- Formation energy from the elements: -0.011 eV/atom

Cell lengths 3.8964, 3.8964, 6.0923 Å; angles 108.65, 108.65, 90.00 degrees
Atoms (fractional coordinates):
Pb1 0.0000 0.0000 0.0000
Ni1 0.2500 0.7500 0.5000
Ni2 0.7500 0.2500 0.5000
Al1 0.3737 0.3737 0.7473
Al2 0.6263 0.6263 0.2527


Here is crystalline GaSbTe2Pt at its relaxed geometry from the Alexandria database. Energies are from PBEsol.

Values from the calculation:
- DFT total energy: -0.1487 Ha/atom
- Formation energy from raw total energies: 0.336 eV/atom

Cell lengths 5.0077, 5.4469, 5.4469 Å; angles 90.00, 90.00, 90.00 degrees
Atoms (fractional coordinates):
Sb1 0.5000 0.0000 0.0000
Te1 0.0000 0.0000 0.5000
Te2 0.0000 0.5000 0.0000
Ga1 0.5000 0.5000 0.5000
Pt1 0.0000 0.0000 0.0000


Here is crystalline Sc2NiRu at its relaxed geometry from the Alexandria database. Energies are from PBEsol.

Values from the calculation:
- DFT total energy: -0.2915 Ha/atom
- Formation energy from the elements: -0.548 eV/atom

Cell lengths 4.4456, 4.4456, 4.4456 Å; angles 60.00, 60.00, 60.00 degrees
Atoms (fractional coordinates):
Sc1 0.2500 0.2500 0.2500
Sc2 0.7500 0.7500 0.7500
Ru1 0.0000 0.0000 0.0000
Ni1 0.5000 0.5000 0.5000


Here is crystalline ScNiNF2 at its relaxed geometry from the Alexandria database. Energies are from PBEsol.

Values from the calculation:
- DFT total energy: -0.2284 Ha/atom
- Formation energy from raw total energies: -1.185 eV/atom

Cell lengths 3.6823, 3.6823, 3.9639 Å; angles 90.00, 90.00, 90.00 degrees
Atoms (fractional coordinates):
Sc1 0.5000 0.5000 0.5000
Ni1 0.0000 0.0000 0.0000
N1 0.0000 0.0000 0.5000
F1 0.0000 0.5000 0.0000
F2 0.5000 0.0000 0.0000


Here is crystalline AgHg2 at its relaxed geometry from the Alexandria database. Energies are from PBEsol.

Values from the calculation:
- DFT total energy: -0.0528 Ha/atom
- Energy relative to the lowest polymorph listed for this composition: 0.017 eV per atom
- Formation energy from the elements: 0.046 eV/atom

Cell lengths 3.1210, 3.1210, 7.1839 Å; angles 90.00, 90.00, 120.00 degrees
Atoms (fractional coordinates):
Hg1 0.6667 0.3333 0.3204
Hg2 0.3333 0.6667 0.6796
Ag1 0.0000 0.0000 0.0000